SmZnSn | GGA-PBE | optimized geometry

ΔE_f in eV/atom: -0.63

Cell: 4.5507 4.5507 16.2522 Å, 90.00 90.00 120.00°
Space group P6_3/mmc (No. 194)
Symmetry-distinct sites (fractional):
Sm 0.0000 0.0000 0.0000 (multiplicity 2)
Sm 0.0000 0.0000 0.2500 (multiplicity 2)
Zn 0.3333 0.6667 0.1588 (multiplicity 4)
Sn 0.3333 0.6667 0.6147 (multiplicity 4)

---

Ac4CoSI2 | GGA-PBE | optimized geometry

Raw formation energy in meV/atom: -1025

Cell: 7.870 4.230 8.774 Å, 90.00 106.58 90.00°
Space group P2/m (No. 10)
Symmetry-distinct sites (fractional):
Ac 0.205 0.000 0.183 (multiplicity 2)
Ac 0.261 0.500 0.806 (multiplicity 2)
Co 0.000 0.500 0.000 (multiplicity 1)
S 0.500 0.000 0.000 (multiplicity 1)
I 0.000 0.000 0.500 (multiplicity 1)
I 0.500 0.500 0.500 (multiplicity 1)

---

SrLa2NpO6 | GGA-PBE | optimized geometry

Raw formation energy in meV/atom: -3158

Cell: 6.1756 6.1756 15.7213 Å, 90.00 90.00 120.00°
Space group R3 (No. 146, hexagonal axes)
Symmetry-distinct sites (fractional):
Sr 0.0000 0.0000 0.0000 (multiplicity 3)
La 0.0000 0.0000 0.2705 (multiplicity 3)
La 0.0000 0.0000 0.7764 (multiplicity 3)
Np 0.0000 0.0000 0.4885 (multiplicity 3)
O 0.0070 0.7326 0.3931 (multiplicity 9)
O 0.0397 0.3491 0.5510 (multiplicity 9)

---

ZrZn2Cd | GGA-PBE | optimized geometry

ΔE_f in eV/atom: -0.01

Cell: 4.236 4.236 8.332 Å, 90.00 90.00 90.00°
Space group I-4m2 (No. 119)
Symmetry-distinct sites (fractional):
Zr 0.000 0.000 0.000 (multiplicity 2)
Zn 0.000 0.000 0.500 (multiplicity 2)
Zn 0.000 0.500 0.250 (multiplicity 2)
Cd 0.000 0.500 0.750 (multiplicity 2)

---

no.,total moment (μB per formula unit),DOS at the Fermi energy (states/eV per atom),energy (eV for the cell shown)
1,0.00,0.2192,-47.50
2,0.00,0.6277,-38.97
3,3.00,1.1120,-257.43
4,0.00,0.7514,-24.10